[1]
This record from Alexandria describes a PBEsol-optimized structure of RbHS2O7. The functional is meta-GGA SCAN.

abc: 7.3331 8.5266 10.9055
angles: 90.00 90.00 107.22
Positions (direct):
O  0.9923  0.6990  0.4614
O  0.5191  0.2962  0.8729
O  0.0603  0.6787  0.6804
O  0.5191  0.7962  0.6271
S  0.6808  0.3943  0.9413
Rb  0.3414  0.4658  0.6981
S  0.3192  0.1057  0.4413
O  0.0077  0.8010  0.9614
O  0.3129  0.6408  0.9297
O  0.8734  0.3521  0.8793
Rb  0.6586  0.5342  0.3019
S  0.3192  0.6057  0.0587
Rb  0.6586  0.0342  0.1981
Rb  0.3414  0.9658  0.8019
O  0.9923  0.1990  0.0386
O  0.4809  0.7038  0.1271
O  0.2615  0.9503  0.0909
O  0.9397  0.3213  0.3196
O  0.4809  0.2038  0.3729
O  0.6871  0.3592  0.0703
S  0.6808  0.8943  0.5587
H  0.8846  0.6960  0.9449
O  0.6871  0.8592  0.4297
O  0.2716  0.4311  0.0907
O  0.7385  0.0497  0.9091
O  0.2615  0.4503  0.4091
H  0.1154  0.8040  0.4449
O  0.8734  0.8521  0.6207
O  0.1266  0.6479  0.1207
O  0.0603  0.1787  0.8196
O  0.9397  0.8213  0.1804
S  0.9151  0.6796  0.5927
O  0.7284  0.5689  0.9093
H  0.8846  0.1960  0.5551
S  0.9151  0.1796  0.9073
S  0.0849  0.8204  0.0927
H  0.1154  0.3040  0.0551
O  0.1266  0.1479  0.3793
S  0.0849  0.3204  0.4073
O  0.2716  0.9311  0.4093
O  0.3129  0.1408  0.5703
O  0.0077  0.3010  0.5386
O  0.7385  0.5497  0.5909
O  0.7284  0.0689  0.5907

Summary:
Total moment in μB/f.u.: 0.0
DOS at the Fermi energy in states/eV/cell: 0.0
Calculated total energy in eV per formula unit: -104.7



[2]
This record from Alexandria describes a PBEsol-optimized structure of CaTaMo2. The functional is meta-GGA SCAN.

abc: 2.6671 4.8410 5.8434
angles: 90.54 90.00 105.99
Positions (direct):
Ta  0.5000  0.0000  0.0000
Mo  0.2476  0.4952  0.2296
Ca  0.0000  0.0000  0.5000
Mo  0.7524  0.5048  0.7704

Summary:
Total moment in μB/f.u.: 0.0
Energy of formation in meV/atom: 726
Energy above the most stable polymorph in this dataset in meV per atom: 216
DOS at the Fermi energy in states/eV/cell: 3.9
Calculated total energy in eV per formula unit: -143.1



[3]
This record from Alexandria describes a PBEsol-optimized structure of Re2AgSb. The functional is meta-GGA SCAN.

abc: 2.9564 2.9564 8.8989
angles: 80.44 80.44 60.00
Positions (direct):
Re  0.7528  0.7528  0.7416
Re  0.2472  0.2472  0.2584
Sb  0.5000  0.5000  0.5000
Ag  0.0000  0.0000  0.0000

Summary:
Uncorrected formation energy in meV per atom: 895
Total moment in μB/f.u.: 0.0
DOS at the Fermi energy in states/eV/cell: 1.9
Calculated total energy in eV per formula unit: -207.2



[4]
This record from Alexandria describes a PBEsol-optimized structure of KZn2S2. The functional is meta-GGA SCAN.

abc: 4.6307 4.6307 5.5869
angles: 114.48 114.48 90.00
Positions (direct):
S  0.7500  0.2500  0.5000
S  0.2500  0.7500  0.5000
Zn  0.3583  0.3583  0.7167
K  0.0000  0.0000  0.0000
Zn  0.6417  0.6417  0.2833

Summary:
Uncorrected formation energy in meV per atom: -607
Total moment in μB/f.u.: 0.0
DOS at the Fermi energy in states/eV/cell: 2.1
Calculated total energy in eV per formula unit: -57.6